(1)
The following is a DFT calculation (PBE) of a relaxed Ho11In9Ir4 crystal.

Output
- M_tot (μB per formula unit) = 0.00
- DFT formation energy (eV/atom) = -0.664
- crystal system = orthorhombic
- final energy (eV/atom) = -5.27

Cell: 3.6985 13.0501 13.0501 Å, 112.50 90.00 90.00°
Closest atoms and distances in Å follow each position.
Fractional coordinates of all 24 atoms:
In1 0.5000 0.2167 0.0729  1 Ir 3.02, 1 In 3.12, 4 Ho 3.17-3.20
In2 0.5000 0.1562 0.6319  1 Ir 3.04, 1 In 3.07, 4 Ho 3.19-3.24
In3 0.5000 0.6319 0.1562  1 Ir 3.04, 1 In 3.07, 4 Ho 3.19-3.24
In4 0.5000 0.3681 0.8438  1 Ir 3.04, 1 In 3.07, 4 Ho 3.19-3.24
In5 0.5000 0.0729 0.2167  1 Ir 3.02, 1 In 3.12, 4 Ho 3.17-3.20
In6 0.5000 0.8438 0.3681  1 Ir 3.04, 1 In 3.07, 4 Ho 3.19-3.24
In7 0.5000 0.7833 0.9271  1 Ir 3.02, 1 In 3.12, 4 Ho 3.17-3.20
In8 0.5000 0.9271 0.7833  1 Ir 3.02, 1 In 3.12, 4 Ho 3.17-3.20
In9 0.5000 0.5000 0.5000  4 Ir 3.11, 8 Ho 3.30
Ho1 0.0000 0.5835 0.9211  2 Ir 2.78
Ho2 0.0000 0.1623 0.8377  8 In 3.24-3.42, 3 Ho 3.52-3.59
Ho3 0.0000 0.6257 0.3743  4 Ir 2.93
Ho4 0.0000 0.8377 0.1623  8 In 3.24-3.42, 3 Ho 3.52-3.59
Ho5 0.0000 0.0789 0.4165  2 Ir 2.78
Ho6 0.0000 0.3119 0.3119  4 Ir 2.91
Ho7 0.0000 0.9211 0.5835  2 Ir 2.78
Ho8 0.0000 0.4165 0.0789  2 Ir 2.78
Ho9 0.0000 0.3743 0.6257  4 Ir 2.93
Ho10 0.0000 0.0000 0.0000  8 In 3.20, 2 Ho 3.52
Ho11 0.0000 0.6881 0.6881  4 Ir 2.91
Ir1 0.5000 0.7528 0.5509  6 Ho 2.78-2.93, 3 In 3.02-3.11
Ir2 0.5000 0.5509 0.7528  6 Ho 2.78-2.93, 3 In 3.02-3.11
Ir3 0.5000 0.4491 0.2472  6 Ho 2.78-2.93, 3 In 3.02-3.11
Ir4 0.5000 0.2472 0.4491  6 Ho 2.78-2.93, 3 In 3.02-3.11

---

(2)
The following is a DFT calculation (PBE) of a relaxed LaHoInIr crystal.

Output
- M_tot (μB per formula unit) = 0.00
- DFT formation energy (eV/atom) = -0.460
- crystal system = cubic
- final energy (eV/atom) = -5.74

Cell: 5.1976 5.1976 5.1976 Å, 60.00 60.00 60.00°
Closest atoms and distances in Å follow each position.
Fractional coordinates of all 4 atoms:
Ho1 0.7500 0.7500 0.7500  4 In 3.18, 4 Ir 3.18
Ir1 0.0000 0.0000 0.0000  4 La 3.18, 4 Ho 3.18
La1 0.2500 0.2500 0.2500  4 In 3.18, 4 Ir 3.18
In1 0.5000 0.5000 0.5000  4 La 3.18, 4 Ho 3.18

---

(3)
The following is a DFT calculation (PBE) of a relaxed LiHoInIr crystal.

Output
- M_tot (μB per formula unit) = 0.00
- DFT formation energy (eV/atom) = -0.530
- crystal system = cubic
- final energy (eV/atom) = -5.05

Cell: 4.7493 4.7493 4.7493 Å, 60.00 60.00 60.00°
Closest atoms and distances in Å follow each position.
Fractional coordinates of all 4 atoms:
Ir1 0.5000 0.5000 0.5000  4 Ho 2.91, 4 In 2.91
In1 0.2500 0.2500 0.2500  4 Ir 2.91, 4 Li 2.91
Ho1 0.7500 0.7500 0.7500  4 Ir 2.91, 4 Li 2.91
Li1 0.0000 0.0000 0.0000  4 In 2.91, 4 Ho 2.91

---

(4)
The following is a DFT calculation (PBE) of a relaxed HoLuInIr crystal.

Output
- M_tot (μB per formula unit) = 0.00
- DFT formation energy (eV/atom) = -0.589
- crystal system = cubic
- final energy (eV/atom) = -5.76

Cell: 5.0128 5.0128 5.0128 Å, 60.00 60.00 60.00°
Closest atoms and distances in Å follow each position.
Fractional coordinates of all 4 atoms:
Lu1 0.0000 0.0000 0.0000  4 In 3.07, 4 Ir 3.07
In1 0.2500 0.2500 0.2500  4 Ho 3.07, 4 Lu 3.07
Ir1 0.7500 0.7500 0.7500  4 Lu 3.07, 4 Ho 3.07
Ho1 0.5000 0.5000 0.5000  4 Ir 3.07, 4 In 3.07

---

(5)
The following is a DFT calculation (PBE) of a relaxed NaHoInIr crystal.

Output
- M_tot (μB per formula unit) = 0.00
- DFT formation energy (eV/atom) = -0.284
- crystal system = cubic
- final energy (eV/atom) = -4.66

Cell: 4.8722 4.8722 4.8722 Å, 60.00 60.00 60.00°
Closest atoms and distances in Å follow each position.
Fractional coordinates of all 4 atoms:
Na1 0.2500 0.2500 0.2500  4 In 2.98, 4 Ho 2.98
Ir1 0.7500 0.7500 0.7500  4 Ho 2.98, 4 In 2.98
In1 0.5000 0.5000 0.5000  4 Na 2.98, 4 Ir 2.98
Ho1 0.0000 0.0000 0.0000  4 Na 2.98, 4 Ir 2.98

---

(6)
The following is a DFT calculation (PBE) of a relaxed HoInIrO6 crystal.

Output
- uncorrected formation energy (eV per formula unit) = -14.4
- M_tot (μB per formula unit) = 2.40
- crystal system = trigonal
- final energy (eV/atom) = -6.70

Cell: 5.4589 5.4589 9.0371 Å, 90.00 90.00 120.00°
Closest atoms and distances in Å follow each position.
Fractional coordinates of all 18 atoms:
In1 0.0000 0.0000 0.0000  6 O 2.23
In2 0.0000 0.0000 0.5000  6 O 2.23
Ir1 0.6667 0.3333 0.2500  6 O 1.96
Ir2 0.3333 0.6667 0.7500  6 O 1.96
O1 0.6720 0.6338 0.1284  1 Ir 1.96
O2 0.6720 0.0381 0.3716  1 Ir 1.96
O3 0.3280 0.3662 0.8716  1 Ir 1.96
O4 0.6338 0.9619 0.8716  1 Ir 1.96
O5 0.0381 0.6720 0.8716  1 Ir 1.96
O6 0.9619 0.3280 0.1284  1 Ir 1.96
O7 0.3280 0.9619 0.6284  1 Ir 1.96
O8 0.9619 0.6338 0.3716  1 Ir 1.96
O9 0.3662 0.3280 0.3716  1 Ir 1.96
O10 0.3662 0.0381 0.1284  1 Ir 1.96
O11 0.6338 0.6720 0.6284  1 Ir 1.96
O12 0.0381 0.3662 0.6284  1 Ir 1.96
Ho1 0.6667 0.3333 0.7500  6 O 2.23
Ho2 0.3333 0.6667 0.2500  6 O 2.23

---

(7)
The following is a DFT calculation (PBE) of a relaxed HoIn2IrO8 crystal.

Output
- uncorrected formation energy (eV per formula unit) = -18.0
- M_tot (μB per formula unit) = 1.83
- crystal system = monoclinic
- final energy (eV/atom) = -6.38

Cell: 4.9445 4.9393 6.6111 Å, 90.00 90.00 91.11°
Closest atoms and distances in Å follow each position.
Fractional coordinates of all 12 atoms:
O1 0.6898 0.6918 0.5000  2 In 2.12, 1 Ho 2.14
O2 0.3102 0.3082 0.5000  2 In 2.12, 1 Ho 2.14
O3 0.8153 0.1864 0.7868  1 Ir 1.92
O4 0.2837 0.2819 0.0000  1 Ir 1.96
O5 0.7163 0.7181 0.0000  1 Ir 1.96
O6 0.1847 0.8136 0.2132  1 Ir 1.92
O7 0.1847 0.8135 0.7868  1 Ir 1.92
O8 0.8153 0.1865 0.2132  1 Ir 1.92
In1 0.5000 0.5000 0.7505  6 O 2.12-2.23
In2 0.5000 0.5000 0.2495  6 O 2.12-2.23
Ho1 0.0000 0.0000 0.5000  6 O 2.14-2.30
Ir1 0.0000 0.0000 0.0000  6 O 1.92-1.96

---

(8)
The following is a DFT calculation (PBE) of a relaxed HoInIrPt crystal.

Output
- M_tot (μB per formula unit) = 0.00
- DFT formation energy (eV/atom) = -0.683
- crystal system = cubic
- final energy (eV/atom) = -6.24

Cell: 4.7520 4.7520 4.7520 Å, 60.00 60.00 60.00°
Closest atoms and distances in Å follow each position.
Fractional coordinates of all 4 atoms:
In1 0.5000 0.5000 0.5000  4 Ir 2.91, 4 Pt 2.91
Pt1 0.2500 0.2500 0.2500  4 In 2.91, 4 Ho 2.91
Ir1 0.7500 0.7500 0.7500  4 In 2.91, 4 Ho 2.91
Ho1 0.0000 0.0000 0.0000  4 Ir 2.91, 4 Pt 2.91